A PBEsol-optimized structure of Mo2OsCl, computed with SCAN.

Properties
For the energy above the most stable polymorph in this dataset, the calculation gives 1.02 eV per formula unit. As for the crystal system: cubic. Its symmetry is F-43m, No. 216. The calculation puts the formation energy from raw total energies at 1.13 eV per atom. The electronic total energy comes out at -36.28 eV/atom.

abc: 4.3895 4.3895 4.3895
angles: 60.00 60.00 60.00
With the nearest neighbours (Å) after each atom.
Atoms (fractional coordinates):
Mo 0.0000 0.0000 0.0000  4 Cl 2.69, 4 Mo 2.69
Mo 0.2500 0.2500 0.2500  4 Os 2.69, 4 Mo 2.69
Os 0.5000 0.5000 0.5000  4 Cl 2.69, 4 Mo 2.69
Cl 0.7500 0.7500 0.7500  4 Mo 2.69, 4 Os 2.69